Entry 1:
A geometry-optimized Ca3PmTh2As6 structure. Source: Alexandria via LeMat-Bulk, functional GGA-PBE.

Cell and atoms, written as POSCAR:
```
Ca3PmTh2As6
1.0
7.436 -0.001 0.001
-3.717 6.441 0.001
-1.240 -2.148 6.895
As Th Ca Pm
6 2 3 1
Direct
0.081 0.416 0.242 As
0.745 0.745 0.243 As
0.416 0.081 0.242 As
0.255 0.255 0.757 As
0.584 0.919 0.758 As
0.919 0.584 0.758 As
0.333 0.667 0.000 Th
0.667 0.333 0.000 Th
0.166 0.834 0.500 Ca
0.834 0.166 0.500 Ca
0.500 0.500 0.500 Ca
0.000 0.000 0.000 Pm
```

Values from the calculation:
Magnetization (μB per cell): 0.000
E_form (eV per formula unit): -15.59
E_tot (eV for the cell shown): -69.080

Entry 2:
A geometry-optimized NdMgCd2Ag4 structure. Source: Alexandria via LeMat-Bulk, functional GGA-PBE.

Cell and atoms, written as POSCAR:
```
NdMgCd2Ag4
1.0
4.866 0.000 0.000
2.433 4.214 0.000
2.433 1.405 8.230
Cd Ag Nd Mg
2 4 1 1
Direct
0.749 0.749 0.752 Cd
0.251 0.251 0.248 Cd
0.130 0.130 0.609 Ag
0.870 0.870 0.391 Ag
0.389 0.389 0.833 Ag
0.611 0.611 0.167 Ag
0.000 0.000 0.000 Nd
0.500 0.500 0.500 Mg
```

Values from the calculation:
Magnetization (μB per cell): 0.000
E_form (eV per formula unit): -1.51
E_tot (eV for the cell shown): -21.106

Entry 3:
A geometry-optimized TlCuW2 structure. Source: Alexandria via LeMat-Bulk, functional GGA-PBE.

Cell and atoms, written as POSCAR:
```
TlCuW2
1.0
2.818 0.415 0.000
-0.407 2.819 0.000
0.000 0.000 8.253
W Cu Tl
2 1 1
Direct
0.000 0.000 0.463 W
0.000 0.000 0.037 W
0.500 0.500 0.250 Cu
0.500 0.500 0.750 Tl
```

Values from the calculation:
Magnetization (μB per cell): 0.000
E_form (eV per formula unit): 3.42
E_tot (eV for the cell shown): -28.952
Relative energy among the computed polymorphs (meV/atom): 305

Entry 4:
A geometry-optimized K3Bi5P6O24 structure. Source: Alexandria via LeMat-Bulk, functional GGA-PBE.

Cell and atoms, written as POSCAR:
```
K3Bi5P6O24
1.0
-5.501 -3.977 1.931
2.017 -9.354 -0.621
3.690 -3.055 17.119
K O P Bi
6 48 12 10
Direct
0.517 0.589 0.570 K
0.314 0.750 0.250 K
0.675 0.911 0.930 K
0.686 0.250 0.750 K
0.483 0.411 0.430 K
0.325 0.089 0.070 K
0.099 0.916 0.566 O
0.927 0.915 0.337 O
0.704 0.653 0.182 O
0.496 0.737 0.074 O
0.073 0.085 0.663 O
0.685 0.994 0.186 O
0.315 0.006 0.814 O
0.087 0.841 0.869 O
0.200 0.307 0.175 O
0.349 0.026 0.416 O
0.419 0.416 0.066 O
0.504 0.263 0.926 O
0.821 0.415 0.837 O
0.179 0.585 0.163 O
0.209 0.526 0.916 O
0.757 0.069 0.042 O
0.482 0.368 0.209 O
0.954 0.117 0.881 O
0.791 0.474 0.084 O
0.131 0.281 0.957 O
0.048 0.617 0.381 O
0.461 0.153 0.682 O
0.941 0.868 0.709 O
0.651 0.974 0.584 O
0.317 0.807 0.675 O
0.518 0.632 0.791 O
0.243 0.931 0.958 O
0.581 0.584 0.934 O
0.692 0.237 0.574 O
0.296 0.347 0.818 O
0.203 0.341 0.369 O
0.869 0.719 0.043 O
0.901 0.084 0.434 O
0.539 0.847 0.318 O
0.952 0.383 0.619 O
0.797 0.659 0.631 O
0.683 0.193 0.325 O
0.800 0.693 0.825 O
0.046 0.883 0.119 O
0.370 0.219 0.543 O
0.865 0.506 0.314 O
0.869 0.431 0.458 O
0.308 0.763 0.426 O
0.630 0.781 0.457 O
0.913 0.159 0.131 O
0.135 0.494 0.686 O
0.059 0.132 0.291 O
0.131 0.569 0.542 O
0.152 0.974 0.882 P
0.457 0.853 0.409 P
0.281 0.353 0.909 P
0.992 0.474 0.382 P
0.848 0.026 0.118 P
0.008 0.526 0.618 P
0.893 0.081 0.348 P
0.678 0.581 0.848 P
0.107 0.919 0.652 P
0.543 0.147 0.591 P
0.322 0.419 0.152 P
0.719 0.647 0.091 P
0.165 0.654 0.795 Bi
0.835 0.346 0.205 Bi
0.614 0.846 0.705 Bi
0.961 0.804 0.471 Bi
0.039 0.196 0.529 Bi
0.236 0.696 0.029 Bi
0.148 0.250 0.750 Bi
0.764 0.304 0.971 Bi
0.386 0.154 0.295 Bi
0.852 0.750 0.250 Bi
```

Values from the calculation:
Formation energy without anion corrections (meV/atom): -2021
Magnetization (μB per cell): 0.000
E_tot (eV for the cell shown): -501.890